[1]
Computed, not measured: a relaxed CoCu2Hg crystal at the PBE level of DFT.

Cell lengths 4.677, 4.677, 2.747 Å; angles 90.00, 90.00, 109.08 degrees
Element x y z (fractional)
Co 0.000 0.000 0.000
Cu 0.000 0.500 0.500
Cu 0.500 0.000 0.500
Hg 0.500 0.500 0.000

Computed properties:
DOS at the Fermi energy in states/eV/cell: 2.36
Total magnetization in Bohr magnetons per cell: 1.3
Uncorrected energy in eV for the cell shown: -14.2

[2]
Computed, not measured: a relaxed CoCu2Hg crystal at the PBE level of DFT.

Cell lengths 4.649, 4.649, 4.649 Å; angles 130.92, 130.92, 71.95 degrees
Element x y z (fractional)
Co 0.000 0.000 0.000
Cu 0.250 0.750 0.500
Cu 0.750 0.250 0.500
Hg 0.500 0.500 0.000

Computed properties:
DOS at the Fermi energy in states/eV/cell: 5.76
Total magnetization in Bohr magnetons per cell: 1.3
Uncorrected energy in eV for the cell shown: -14.3

[3]
Computed, not measured: a relaxed CoCu2Hg crystal at the PBE level of DFT.

Cell lengths 4.615, 4.615, 4.702 Å; angles 100.33, 100.33, 35.30 degrees
Element x y z (fractional)
Co 0.000 0.000 0.000
Cu 0.259 0.259 0.781
Cu 0.741 0.741 0.219
Hg 0.500 0.500 0.500

Computed properties:
DOS at the Fermi energy in states/eV/cell: 4.53
Total magnetization in Bohr magnetons per cell: 1.3
Uncorrected energy in eV for the cell shown: -14.4

[4]
Computed, not measured: a relaxed CoCu2Hg crystal at the PBE level of DFT.

Cell lengths 5.128, 5.128, 5.128 Å; angles 146.92, 128.89, 62.25 degrees
Element x y z (fractional)
Co 0.000 0.000 0.000
Cu 0.235 0.735 0.500
Cu 0.765 0.265 0.500
Hg 0.500 0.500 0.000

Computed properties:
DOS at the Fermi energy in states/eV/cell: 4.86
Total magnetization in Bohr magnetons per cell: 1.3
Uncorrected energy in eV for the cell shown: -14.3

[5]
Computed, not measured: a relaxed CoCu2Hg crystal at the PBE level of DFT.

Cell lengths 8.867, 8.867, 8.867 Å; angles 18.05, 18.05, 18.05 degrees
Element x y z (fractional)
Co 0.000 0.000 0.000
Cu 0.259 0.259 0.259
Cu 0.741 0.741 0.741
Hg 0.500 0.500 0.500

Computed properties:
DOS at the Fermi energy in states/eV/cell: 3.70
Total magnetization in Bohr magnetons per cell: 1.6
Uncorrected energy in eV for the cell shown: -14.1

[6]
Computed, not measured: a relaxed CoCu2Hg crystal at the PBE level of DFT.

Cell lengths 2.980, 2.980, 6.393 Å; angles 90.00, 90.00, 90.00 degrees
Element x y z (fractional)
Co 0.000 0.000 0.000
Cu 0.500 0.500 0.209
Cu 0.500 0.500 0.791
Hg 0.000 0.000 0.500

Computed properties:
DOS at the Fermi energy in states/eV/cell: 3.34
Total magnetization in Bohr magnetons per cell: 1.7
Uncorrected energy in eV for the cell shown: -14.4

Repeat the third record exactly.
Computed, not measured: a relaxed CoCu2Hg crystal at the PBE level of DFT.

Cell lengths 4.615, 4.615, 4.702 Å; angles 100.33, 100.33, 35.30 degrees
Element x y z (fractional)
Co 0.000 0.000 0.000
Cu 0.259 0.259 0.781
Cu 0.741 0.741 0.219
Hg 0.500 0.500 0.500

Computed properties:
DOS at the Fermi energy in states/eV/cell: 4.53
Total magnetization in Bohr magnetons per cell: 1.3
Uncorrected energy in eV for the cell shown: -14.4